Entry from Alexandria: a relaxed TeIrSe4 crystal (PBE-GGA).

Output
- Raw total energy: -4.468 eV/atom
- Energy above the lowest structure with this stoichiometry: 0.0 meV per atom
- Formation energy from raw total energies: -0.145 eV/atom

Cell lengths 6.5557, 6.5557, 6.8788 Å; angles 118.11, 118.11, 34.08 degrees
With the nearest neighbours (Å) after each atom.
Atoms (fractional coordinates):
Te  0.0000  0.0000  0.0000  6 Se 2.80-2.83
Ir  0.5000  0.5000  0.5000  6 Se 2.52-2.53
Se  0.1222  0.1222  0.7518  2 Ir 2.53, 1 Te 2.80
Se  0.3615  0.3615  0.6683  1 Ir 2.52
Se  0.6385  0.6385  0.3317  1 Ir 2.52
Se  0.8778  0.8778  0.2482  2 Ir 2.53, 1 Te 2.80

Entry from Alexandria: a relaxed BeTlCu2 crystal (PBE-GGA).

Output
- Raw total energy: -3.110 eV/atom
- Energy above the lowest structure with this stoichiometry: 212.9 meV per atom

Cell lengths 4.5333, 4.5333, 3.0160 Å; angles 90.00, 90.00, 106.94 degrees
With the nearest neighbours (Å) after each atom.
Atoms (fractional coordinates):
Be  0.0000  0.0000  0.0000  2 Tl 2.70, 8 Cu 2.72, 2 Be 3.02
Tl  0.5000  0.5000  0.0000  2 Be 2.70, 8 Cu 2.72, 2 Tl 3.02
Cu  0.0000  0.5000  0.5000  4 Cu 2.70-3.02, 4 Tl 2.72, 4 Be 2.72
Cu  0.5000  0.0000  0.5000  4 Cu 2.70-3.02, 4 Tl 2.72, 4 Be 2.72

Entry from Alexandria: a relaxed TlGaPb crystal (PBE-GGA).

Output
- Raw total energy: -2.956 eV/atom
- Energy above the lowest structure with this stoichiometry: 43.3 meV per atom

Cell lengths 3.5260, 3.5260, 7.7680 Å; angles 90.00, 90.00, 120.00 degrees
With the nearest neighbours (Å) after each atom.
Atoms (fractional coordinates):
Tl  0.0000  0.0000  0.0000  3 Ga 3.19, 6 Tl 3.53, 3 Pb 3.55
Ga  0.6667  0.3333  0.3159  3 Pb 3.15, 3 Tl 3.19, 6 Ga 3.53
Pb  0.3333  0.6667  0.6258  3 Ga 3.15, 6 Pb 3.53

Entry from Alexandria: a relaxed Tb5Pr4Er crystal (PBE-GGA).

Output
- Raw total energy: -4.499 eV/atom
- Energy above the lowest structure with this stoichiometry: 0.0 meV per atom

Cell lengths 8.8323, 8.8323, 11.3363 Å; angles 90.12, 90.12, 23.23 degrees
With the nearest neighbours (Å) after each atom.
Atoms (fractional coordinates):
Tb  0.0000  0.0000  0.0000  4 Pr 3.40, 6 Tb 3.54-3.56
Tb  0.3266  0.3266  0.0512  2 Pr 3.33-3.69, 6 Tb 3.39-3.56
Tb  0.3272  0.3272  0.4504  2 Pr 3.33-3.71, 4 Tb 3.40-3.56, 2 Er 3.52
Tb  0.6728  0.6728  0.5496  2 Pr 3.33-3.71, 4 Tb 3.40-3.56, 2 Er 3.52
Tb  0.6734  0.6734  0.9488  2 Pr 3.33-3.69, 6 Tb 3.39-3.56
Pr  0.1577  0.1577  0.2499  4 Pr 3.56-3.73, 7 Tb 3.69-3.93, 1 Er 3.94
Pr  0.4685  0.4685  0.2507  4 Tb 3.33-3.40, 2 Er 3.38, 4 Pr 3.56-3.73
Pr  0.5315  0.5315  0.7493  4 Tb 3.33-3.40, 2 Er 3.38, 4 Pr 3.56-3.73
Pr  0.8423  0.8423  0.7501  4 Pr 3.56-3.73, 7 Tb 3.69-3.93, 1 Er 3.94
Er  0.0000  0.0000  0.5000  4 Pr 3.38, 4 Tb 3.52, 2 Er 3.56

Entry from Alexandria: a relaxed UNi5Sn crystal (PBE-GGA).

Output
- Raw total energy: -6.554 eV/atom

Cell lengths 7.9875, 4.8786, 10.2084 Å; angles 90.00, 90.00, 90.00 degrees
With the nearest neighbours (Å) after each atom.
Atoms (fractional coordinates):
U  0.2393  0.2500  0.0541  7 Ni 2.72-3.04
U  0.2607  0.7500  0.5541  7 Ni 2.72-3.04
U  0.7393  0.2500  0.4459  7 Ni 2.72-3.04
U  0.7607  0.7500  0.9459  7 Ni 2.72-3.04
Ni  0.0704  0.2500  0.6013  4 Ni 2.48-2.54, 1 Sn 2.55
Ni  0.0730  0.5008  0.8150  7 Ni 2.43-2.50, 2 Sn 2.68-2.69
Ni  0.0730  0.9992  0.8150  7 Ni 2.43-2.50, 2 Sn 2.68-2.69
Ni  0.0955  0.7500  0.0207  5 Ni 2.43-2.47, 2 U 2.72
Ni  0.1765  0.7500  0.2520  7 Ni 2.43-2.54, 2 Sn 2.69
Ni  0.3235  0.2500  0.7520  7 Ni 2.43-2.54, 2 Sn 2.69
Ni  0.4045  0.2500  0.5207  5 Ni 2.43-2.47, 2 U 2.72
Ni  0.4270  0.0008  0.3150  7 Ni 2.43-2.50, 2 Sn 2.68-2.69
Ni  0.4270  0.4992  0.3150  7 Ni 2.43-2.50, 2 Sn 2.68-2.69
Ni  0.4296  0.7500  0.1013  4 Ni 2.48-2.54, 1 Sn 2.55
Ni  0.5704  0.2500  0.8987  4 Ni 2.48-2.54, 1 Sn 2.55
Ni  0.5730  0.5008  0.6850  7 Ni 2.43-2.50, 2 Sn 2.68-2.69
Ni  0.5730  0.9992  0.6850  7 Ni 2.43-2.50, 2 Sn 2.68-2.69
Ni  0.5955  0.7500  0.4793  5 Ni 2.43-2.47, 2 U 2.72
Ni  0.6765  0.7500  0.2480  7 Ni 2.43-2.54, 2 Sn 2.69
Ni  0.8235  0.2500  0.7480  7 Ni 2.43-2.54, 2 Sn 2.69
Ni  0.9045  0.2500  0.9793  5 Ni 2.43-2.47, 2 U 2.72
Ni  0.9270  0.0008  0.1850  7 Ni 2.43-2.50, 2 Sn 2.68-2.69
Ni  0.9270  0.4992  0.1850  7 Ni 2.43-2.50, 2 Sn 2.68-2.69
Ni  0.9296  0.7500  0.3987  4 Ni 2.48-2.54, 1 Sn 2.55
Sn  0.1325  0.2500  0.3566  8 Ni 2.55-2.74
Sn  0.3675  0.7500  0.8566  8 Ni 2.55-2.74
Sn  0.6325  0.2500  0.1434  8 Ni 2.55-2.74
Sn  0.8675  0.7500  0.6434  8 Ni 2.55-2.74

Entry from Alexandria: a relaxed Ta3Tc crystal (PBE-GGA).

Output
- Raw total energy: -11.715 eV/atom
- Energy above the lowest structure with this stoichiometry: 43.8 meV per atom

Cell lengths 5.6204, 5.6204, 4.5868 Å; angles 90.00, 90.00, 108.90 degrees
With the nearest neighbours (Å) after each atom.
Atoms (fractional coordinates):
Ta  0.1203  0.8797  0.7500  8 Ta 2.80-2.84
Ta  0.1313  0.3814  0.7500  4 Tc 2.79-2.82, 4 Ta 2.80-2.84
Ta  0.3814  0.1313  0.2500  4 Tc 2.79-2.82, 4 Ta 2.80-2.84
Ta  0.6186  0.8687  0.7500  4 Tc 2.79-2.82, 4 Ta 2.80-2.84
Ta  0.8687  0.6186  0.2500  4 Tc 2.79-2.82, 4 Ta 2.80-2.84
Ta  0.8797  0.1203  0.2500  8 Ta 2.80-2.84
Tc  0.3738  0.6262  0.2500  8 Ta 2.79-2.82
Tc  0.6262  0.3738  0.7500  8 Ta 2.79-2.82

Entry from Alexandria: a relaxed Cs2Tl5Hg2Sb2 crystal (PBE-GGA).

Output
- Raw total energy: -2.087 eV/atom
- Formation energy from raw total energies: -0.052 eV/atom

Cell lengths 19.2263, 19.2263, 19.2263 Å; angles 164.51, 164.51, 21.98 degrees
With the nearest neighbours (Å) after each atom.
Atoms (fractional coordinates):
Cs  0.2130  0.2130  0.0000  5 Sb 3.93-4.21, 4 Tl 4.23
Cs  0.7870  0.7870  0.0000  5 Sb 3.93-4.21, 4 Tl 4.23
Tl  0.0000  0.0000  0.0000  2 Hg 2.92
Tl  0.1244  0.6244  0.5000  2 Hg 3.14, 2 Sb 3.23
Tl  0.3756  0.8756  0.5000  2 Hg 3.14, 2 Sb 3.23
Tl  0.6244  0.1244  0.5000  2 Hg 3.14, 2 Sb 3.23
Tl  0.8756  0.3756  0.5000  2 Hg 3.14, 2 Sb 3.23
Hg  0.0773  0.0773  0.0000  5 Tl 2.92-3.14
Hg  0.9227  0.9227  0.0000  5 Tl 2.92-3.14
Sb  0.3245  0.3245  0.0000  4 Tl 3.23
Sb  0.6755  0.6755  0.0000  4 Tl 3.23

Entry from Alexandria: a relaxed Nd2Sm7Th2 crystal (PBE-GGA).

Output
- Raw total energy: -5.036 eV/atom
- Energy above the lowest structure with this stoichiometry: 3.2 meV per atom

Cell lengths 8.2021, 8.2021, 6.0807 Å; angles 105.80, 105.80, 90.12 degrees
With the nearest neighbours (Å) after each atom.
Atoms (fractional coordinates):
Nd  0.2265  0.2265  0.0956  7 Sm 3.44-3.78, 2 Th 3.52
Nd  0.7735  0.7735  0.9044  7 Sm 3.44-3.78, 2 Th 3.52
Sm  0.0000  0.0000  0.5000  4 Sm 3.29, 2 Nd 3.56
Sm  0.0537  0.5923  0.3311  2 Sm 3.16-3.29, 1 Th 3.39, 1 Nd 3.44
Sm  0.4077  0.9463  0.6689  2 Sm 3.16-3.29, 1 Th 3.39, 1 Nd 3.44
Sm  0.4209  0.4209  0.7011  4 Sm 3.38-3.76, 2 Nd 3.50-3.78, 2 Th 3.70
Sm  0.5791  0.5791  0.2989  4 Sm 3.38-3.76, 2 Nd 3.50-3.78, 2 Th 3.70
Sm  0.5923  0.0537  0.3311  2 Sm 3.16-3.29, 1 Th 3.39, 1 Nd 3.44
Sm  0.9463  0.4077  0.6689  2 Sm 3.16-3.29, 1 Th 3.39, 1 Nd 3.44
Th  0.2168  0.7832  0.0000  8 Sm 3.39-3.79, 2 Nd 3.52
Th  0.7832  0.2168  0.0000  8 Sm 3.39-3.79, 2 Nd 3.52